A plane-wave DFT calculation with PBEsol was carried out for a relaxed In2SiAg2Se6 crystal.

The space group is Cc (No. 9) and the conventional cell measures 12.6365, 7.3808 and 12.5491 Å, with angles of 90.00, 109.69 and 90.00 degrees. The asymmetric unit holds In at (0.0000, 0.0641, 0.0000), In at (0.3181, 0.3995, 0.6994), Si at (0.0662, 0.2343, 0.7595), Ag at (0.1347, 0.2950, 0.3422), Ag at (0.3404, 0.0979, 0.0123), Se at (0.1079, 0.4804, 0.6709), Se at (0.1438, 0.0104, 0.2061), Se at (0.1442, 0.2719, 0.9494), Se at (0.3245, 0.2549, 0.5112), Se at (0.3771, 0.2537, 0.2166) and Se at (0.4485, 0.2573, 0.8897).

Its energy is -182.85 eV per cell.

***

A plane-wave DFT calculation with PBEsol was carried out for a relaxed KCa2Fe crystal.

The space group is Pm (No. 6) and the conventional cell measures 4.1379, 3.8718 and 9.4662 Å, with angles of 90.00, 102.55 and 90.00 degrees. The asymmetric unit holds K at (0.0000, 0.0000, 0.0000), Ca at (0.3123, 0.0000, 0.6293), Ca at (0.6818, 0.5000, 0.3660) and Fe at (0.8376, 0.5000, 0.6807).

For the energy of formation from the pure elements, the calculation gives 637 meV per atom.

***

- Number 1 is which compound?
  In2SiAg2Se6

***

Repeat the second record exactly.
A plane-wave DFT calculation with PBEsol was carried out for a relaxed KCa2Fe crystal.

The space group is Pm (No. 6) and the conventional cell measures 4.1379, 3.8718 and 9.4662 Å, with angles of 90.00, 102.55 and 90.00 degrees. The asymmetric unit holds K at (0.0000, 0.0000, 0.0000), Ca at (0.3123, 0.0000, 0.6293), Ca at (0.6818, 0.5000, 0.3660) and Fe at (0.8376, 0.5000, 0.6807).

For the energy of formation from the pure elements, the calculation gives 637 meV per atom.